Density functional theory data (PBE-GGA) for an optimized crystal structure of TeCI.

The energy relative to the lowest polymorph listed for this composition is 0.24 eV per formula unit.

The space group is P1 (No. 1) and the conventional cell measures 4.998, 5.976 and 9.415 Å, with angles of 92.14, 97.83 and 94.32 degrees. Symmetry generates all atoms from Te at (0.000, 0.000, 0.000), Te at (0.279, 0.981, 0.770), C at (0.315, 0.994, 0.161), C at (0.478, 0.994, 0.272), I at (0.207, 0.510, 0.691) and I at (0.740, 0.998, 0.452).

Density functional theory data (PBE-GGA) for an optimized crystal structure of TeCI.

The energy relative to the lowest polymorph listed for this composition is 0.18 eV per formula unit.

The space group is P1 (No. 1) and the conventional cell measures 5.622, 6.355 and 7.477 Å, with angles of 81.46, 86.37 and 86.22 degrees. Symmetry generates all atoms from Te at (0.000, 0.000, 0.000), Te at (0.260, 0.915, 0.360), C at (0.555, 0.842, 0.220), C at (0.746, 0.789, 0.131), I at (0.730, 0.053, 0.669) and I at (0.833, 0.434, 0.090).

Density functional theory data (PBE-GGA) for an optimized crystal structure of TeC3I.

The energy relative to the lowest polymorph listed for this composition is 1.31 eV per formula unit. The value obtained for the density of states at the Fermi level is 3.4 states/eV per cell.

The space group is Pm-3m (No. 221) and the conventional cell measures 4.218, 4.218 and 4.218 Å, with angles of 90.00, 90.00 and 90.00 degrees. Symmetry generates all atoms from Te at (0.000, 0.000, 0.000), C at (0.000, 0.500, 0.500) and I at (0.500, 0.500, 0.500).

Density functional theory data (PBE-GGA) for an optimized crystal structure of Te3CI.

The energy relative to the lowest polymorph listed for this composition is 0.00 eV per formula unit. The value obtained for the density of states at the Fermi level is 4.5 states/eV per cell.

The space group is Pm-3m (No. 221) and the conventional cell measures 4.963, 4.963 and 4.963 Å, with angles of 90.00, 90.00 and 90.00 degrees. Symmetry generates all atoms from Te at (0.000, 0.000, 0.500), C at (0.000, 0.000, 0.000) and I at (0.500, 0.500, 0.500).

Density functional theory data (PBE-GGA) for an optimized crystal structure of TeCI.

The energy relative to the lowest polymorph listed for this composition is 0.01 eV per formula unit.

The space group is P1 (No. 1) and the conventional cell measures 5.951, 6.717 and 9.381 Å, with angles of 92.79, 107.15 and 115.36 degrees. Symmetry generates all atoms from Te at (0.000, 0.000, 0.000), Te at (0.309, 0.310, 0.819), C at (0.566, 0.184, 0.895), C at (0.727, 0.111, 0.937), I at (0.297, 0.280, 0.292) and I at (0.654, 0.610, 0.667).

Density functional theory data (PBE-GGA) for an optimized crystal structure of TeCI.

The energy relative to the lowest polymorph listed for this composition is 0.08 eV per formula unit.

The space group is P1 (No. 1) and the conventional cell measures 4.270, 5.353 and 10.806 Å, with angles of 97.31, 91.86 and 90.34 degrees. Symmetry generates all atoms from Te at (0.000, 0.000, 0.000), Te at (0.486, 0.693, 0.865), C at (0.005, 0.751, 0.260), C at (0.007, 0.836, 0.160), I at (0.972, 0.349, 0.716) and I at (0.997, 0.611, 0.422).

Density functional theory data (PBE-GGA) for an optimized crystal structure of TeCI.

The energy relative to the lowest polymorph listed for this composition is 0.07 eV per formula unit. The value obtained for the density of states at the Fermi level is 1.9 states/eV per cell.

The space group is C2/m (No. 12) and the conventional cell measures 18.528, 5.830 and 4.966 Å, with angles of 90.00, 100.07 and 90.00 degrees. Symmetry generates all atoms from Te at (0.144, 0.000, 0.063), C at (0.034, 0.000, 0.015) and I at (0.147, 0.500, 0.895).

Density functional theory data (PBE-GGA) for an optimized crystal structure of TeC3I.

The energy relative to the lowest polymorph listed for this composition is 0.00 eV per formula unit. The value obtained for the density of states at the Fermi level is 3.7 states/eV per cell.

The space group is Pm-3m (No. 221) and the conventional cell measures 4.285, 4.285 and 4.285 Å, with angles of 90.00, 90.00 and 90.00 degrees. Symmetry generates all atoms from Te at (0.000, 0.000, 0.000), C at (0.000, 0.000, 0.500) and I at (0.500, 0.500, 0.500).

Density functional theory data (PBE-GGA) for an optimized crystal structure of TeCI.

The energy relative to the lowest polymorph listed for this composition is 0.06 eV per formula unit. The value obtained for the density of states at the Fermi level is 0.4 states/eV per cell.

The space group is P1 (No. 1) and the conventional cell measures 5.809, 5.811 and 9.663 Å, with angles of 77.19, 77.01 and 68.91 degrees. Symmetry generates all atoms from Te at (0.000, 0.000, 0.000), Te at (0.191, 0.188, 0.437), C at (0.090, 0.054, 0.785), C at (0.135, 0.098, 0.652), I at (0.140, 0.450, 0.026) and I at (0.742, 0.047, 0.411).

Density functional theory data (PBE-GGA) for an optimized crystal structure of TeCI.

The energy relative to the lowest polymorph listed for this composition is 1.44 eV per formula unit. The value obtained for the density of states at the Fermi level is 1.9 states/eV per cell.

The space group is P1 (No. 1) and the conventional cell measures 3.908, 6.801 and 8.539 Å, with angles of 74.46, 89.63 and 89.74 degrees. Symmetry generates all atoms from Te at (0.000, 0.000, 0.000), Te at (0.499, 0.622, 0.286), C at (0.502, 0.945, 0.877), C at (0.999, 0.741, 0.195), I at (0.503, 0.206, 0.656) and I at (0.505, 0.661, 0.812).

Density functional theory data (PBE-GGA) for an optimized crystal structure of TeCI.

The energy relative to the lowest polymorph listed for this composition is 0.03 eV per formula unit.

The space group is P1 (No. 1) and the conventional cell measures 5.089, 5.950 and 9.718 Å, with angles of 73.62, 77.63 and 67.35 degrees. Symmetry generates all atoms from Te at (0.000, 0.000, 0.000), Te at (0.390, 0.231, 0.754), C at (0.136, 0.702, 0.910), C at (0.227, 0.523, 0.851), I at (0.320, 0.769, 0.241) and I at (0.699, 0.497, 0.516).

Density functional theory data (PBE-GGA) for an optimized crystal structure of TeCI.

The energy relative to the lowest polymorph listed for this composition is 0.68 eV per formula unit. The value obtained for the density of states at the Fermi level is 2.1 states/eV per cell.

The space group is P1 (No. 1) and the conventional cell measures 5.378, 5.647 and 7.482 Å, with angles of 94.38, 102.12 and 109.07 degrees. Symmetry generates all atoms from Te at (0.000, 0.000, 0.000), Te at (0.157, 0.780, 0.734), C at (0.290, 0.026, 0.249), C at (0.395, 0.243, 0.364), I at (0.354, 0.637, 0.309) and I at (0.612, 0.259, 0.649).

Density functional theory data (PBE-GGA) for an optimized crystal structure of TeCI.

The energy relative to the lowest polymorph listed for this composition is 1.42 eV per formula unit. The value obtained for the density of states at the Fermi level is 1.8 states/eV per cell.

The space group is P1 (No. 1) and the conventional cell measures 3.348, 6.904 and 9.867 Å, with angles of 99.47, 90.61 and 103.99 degrees. Symmetry generates all atoms from Te at (0.000, 0.000, 0.000), Te at (0.251, 0.508, 0.866), C at (0.545, 0.096, 0.884), C at (0.838, 0.679, 0.939), I at (0.407, 0.792, 0.313) and I at (0.482, 0.970, 0.666).

Density functional theory data (PBE-GGA) for an optimized crystal structure of Ti2TeCI.

The value obtained for the density of states at the Fermi level is 6.5 states/eV per cell.

The space group is P4/mmm (No. 123) and the conventional cell measures 5.110, 5.110 and 5.908 Å, with angles of 90.00, 90.00 and 90.00 degrees. Symmetry generates all atoms from Ti at (0.000, 0.500, 0.000), Te at (0.000, 0.000, 0.500), C at (0.500, 0.500, 0.500) and I at (0.000, 0.000, 0.000).

These records have formation energy without anion corrections values of 651; 633; 3292; 1059; 576; 598; 595; 3030; 592; 1052; 581; 797; 1045; 2379 meV/atom, in the order they appear.